LiCoPO4 | PBE+U | relaxed

Computed properties:
- Energy relative to the lowest polymorph listed for this composition: 0.042 eV/atom
- Total energy: -6.60 eV/atom
- Space group: P2_1/c (14)

```
84
Lattice="-6.737 4.350 -0.997 -4.811 -7.375 0.326 -6.044 -5.897 15.109" Properties=species:S:1:pos:R:3 pbc="T T T"
Li -10.901 -5.937 13.420
Li -11.944 -5.194 3.268
Li -10.521 -6.915 8.141
Li -6.690 -2.985 1.018
Li -5.647 -3.727 11.170
Li -10.921 -1.024 5.415
Li -6.730 -7.126 14.349
Li -7.070 -2.007 6.297
Li -6.670 -7.898 9.023
Li -13.804 -8.893 10.994
Li -3.788 -0.029 3.444
Li -10.862 -1.796 0.089
Co -11.723 -3.262 10.850
Co -4.898 2.302 0.577
Co -9.979 -4.288 5.762
Co -3.322 -2.505 1.309
Co -9.270 0.225 7.932
Co -12.693 -11.224 13.861
Co -7.612 -4.634 8.676
Co -14.269 -6.417 13.129
Co -7.672 -0.978 3.448
Co -9.920 -7.944 10.990
Co -5.868 -5.660 3.588
Co -8.321 -9.147 6.506
P -15.166 -9.352 13.664
P -7.612 -5.962 11.481
P -7.321 -6.144 6.165
P -5.090 -2.691 3.852
P -2.425 0.430 0.774
P -12.501 -6.231 10.586
P -7.274 0.186 0.715
P -9.979 -2.960 2.957
P -10.271 -2.778 8.273
P -5.218 -2.666 8.362
P -12.373 -6.256 6.076
P -10.318 -9.108 13.723
O -7.993 -7.416 5.553
O -11.693 -2.953 8.881
O -4.790 -3.010 0.072
O -4.229 -3.792 7.943
O -9.673 -8.716 7.932
O -6.520 1.406 1.339
O -13.362 -5.130 6.495
O -10.212 -2.364 11.840
O -11.563 -2.753 13.969
O -9.598 -1.506 8.885
O -6.916 -4.943 10.519
O -4.250 -1.765 2.912
O -5.683 -3.817 2.963
O -11.908 -5.105 11.475
O -12.801 -5.912 14.366
O -8.789 -9.344 13.706
O -6.029 -6.169 0.469
O -13.341 -7.157 11.526
O -7.239 -6.328 7.712
O -8.677 -5.235 12.338
O -7.379 -6.558 2.598
O -6.545 -6.547 12.464
O -7.658 0.887 4.217
O -11.071 -10.328 13.099
O -3.735 0.789 0.015
O -8.915 -3.687 2.100
O -8.125 -4.873 5.802
O -10.590 -7.839 12.865
O -9.467 -4.049 8.636
O -11.046 -2.375 1.973
O -8.802 0.422 0.732
O -9.382 -1.836 3.847
O -10.675 -3.979 3.919
O -2.122 -1.079 0.598
O -6.654 -3.052 7.929
O -8.209 -7.086 10.591
O -9.933 -9.809 10.221
O -13.857 -9.711 14.423
O -4.199 -3.227 4.999
O -10.937 -5.870 6.509
O -10.353 -2.594 6.726
O -13.392 -5.695 9.439
O -6.234 -1.848 4.509
O -7.001 -1.083 1.573
O -15.470 -7.843 13.840
O -5.899 -5.969 5.557
O -7.918 -0.206 6.506
O -11.357 -7.074 9.929
```